Entry 1:
# RbVOsRh2, optimized geometry, DFT PBE
# **ρ**: 9.21 g cm⁻³
# **DOS(E_F)**: 9.59 states/eV/f.u.
# **Uncorrected energy**: -4.22 eV per atom
data_RbVOsRh2
_chemical_formula_sum 'Rb1 V1 Os1 Rh2'
_space_group_name_H-M_alt 'P 1'
_space_group_IT_number 1
_space_group_name_Hall 'P 1'
_cell_length_a 4.625
_cell_length_b 4.625
_cell_length_c 4.490
_cell_angle_alpha 90.00
_cell_angle_beta 90.00
_cell_angle_gamma 90.00
loop_
_atom_site_label
_atom_site_fract_x
_atom_site_fract_y
_atom_site_fract_z
Rb1 0.000 0.000 0.000
V1 0.000 0.000 0.500
Os1 0.500 0.500 0.500
Rh1 0.000 0.500 0.000
Rh2 0.500 0.000 0.000

***

Entry 2:
# Rb2OsRu, optimized geometry, DFT PBE
# **Relative energy among the computed polymorphs**: 0.0 meV/atom
# **ρ**: 3.96 g cm⁻³
# **DOS(E_F)**: 6.43 states/eV/f.u.
# **Uncorrected energy**: -4.20 eV per atom
data_Rb2OsRu
_chemical_formula_sum 'Rb4 Os2 Ru2'
_space_group_name_H-M_alt 'P 1'
_space_group_IT_number 1
_space_group_name_Hall 'P 1'
_cell_length_a 9.441
_cell_length_b 9.441
_cell_length_c 9.441
_cell_angle_alpha 93.44
_cell_angle_beta 93.44
_cell_angle_gamma 151.62
loop_
_atom_site_label
_atom_site_fract_x
_atom_site_fract_y
_atom_site_fract_z
Rb1 0.375 0.183 0.308
Rb2 0.817 0.125 0.192
Rb3 0.875 0.067 0.692
Rb4 0.933 0.625 0.808
Os1 0.250 0.750 0.500
Os2 0.500 0.500 0.000
Ru1 0.000 0.000 0.000
Ru2 0.750 0.250 0.500

***

Entry 3:
# RbOsRu2, optimized geometry, DFT PBE
# **Relative energy among the computed polymorphs**: 249.4 meV/atom
# **ρ**: 11.56 g cm⁻³
# **DOS(E_F)**: 4.29 states/eV/f.u.
# **Uncorrected energy**: -5.96 eV per atom
data_RbOsRu2
_chemical_formula_sum 'Rb1 Os1 Ru2'
_space_group_name_H-M_alt 'P 1'
_space_group_IT_number 1
_space_group_name_Hall 'P 1'
_cell_length_a 4.596
_cell_length_b 4.596
_cell_length_c 4.596
_cell_angle_alpha 60.00
_cell_angle_beta 60.00
_cell_angle_gamma 60.00
loop_
_atom_site_label
_atom_site_fract_x
_atom_site_fract_y
_atom_site_fract_z
Rb1 0.000 0.000 0.000
Os1 0.500 0.500 0.500
Ru1 0.250 0.250 0.250
Ru2 0.750 0.750 0.750

***

Entry 4:
# RbOsRu2, optimized geometry, DFT PBE
# **Relative energy among the computed polymorphs**: 0.0 meV/atom
# **ρ**: 8.65 g cm⁻³
# **DOS(E_F)**: 9.09 states/eV/f.u.
# **Uncorrected energy**: -6.21 eV per atom
data_RbOsRu2
_chemical_formula_sum 'Rb2 Os2 Ru4'
_space_group_name_H-M_alt 'P 1'
_space_group_IT_number 1
_space_group_name_Hall 'P 1'
_cell_length_a 6.221
_cell_length_b 6.221
_cell_length_c 6.221
_cell_angle_alpha 106.26
_cell_angle_beta 106.26
_cell_angle_gamma 116.10
loop_
_atom_site_label
_atom_site_fract_x
_atom_site_fract_y
_atom_site_fract_z
Rb1 0.000 0.000 0.000
Rb2 0.750 0.250 0.500
Os1 0.250 0.750 0.500
Os2 0.500 0.500 0.000
Ru1 0.209 0.625 0.084
Ru2 0.375 0.459 0.584
Ru3 0.541 0.125 0.916
Ru4 0.875 0.791 0.416

***

Sequential calculated formation energy output: 2.986; 1.412; 1.731; 1.482 eV per atom